Entry 1:
{"formula": "Cd5Pb3", "functional": "GGA-PBEsol", "state": "optimized geometry", "lattice_angstrom": [[-3.796, 1.969, -1.879], [-0.497, -4.942, -4.174], [-3.749, -3.203, 4.217]], "species": ["Cd", "Cd", "Cd", "Cd", "Cd", "Pb", "Pb", "Pb"], "frac_coords": [[0.000, 0.000, 0.000], [0.000, 0.000, 0.500], [0.000, 0.500, 0.000], [0.500, 0.249, 0.249], [0.500, 0.751, 0.751], [0.000, 0.500, 0.500], [0.500, 0.761, 0.239], [0.500, 0.239, 0.761]], "dft_energy_ev_per_atom": -2.179, "sg": "Cmmm, No. 65", "delta_e_f_ev_per_fu": 0.55, "m_tot_mub_per_fu": 0.0, "volume_a3_per_atom": 24.579}

Entry 2:
{"formula": "CdPb5", "functional": "GGA-PBEsol", "state": "optimized geometry", "lattice_angstrom": [[4.904, 0.000, 0.000], [0.000, 4.851, 0.000], [-2.452, 0.000, 7.252]], "species": ["Cd", "Pb", "Pb", "Pb", "Pb", "Pb"], "frac_coords": [[0.500, 0.000, 0.000], [0.336, 0.500, 0.672], [0.164, 0.000, 0.328], [0.000, 0.500, 0.000], [0.836, 0.000, 0.672], [0.664, 0.500, 0.328]], "dft_energy_ev_per_atom": -3.503, "sg": "Cmmm, No. 65", "delta_e_f_ev_per_fu": 0.17, "m_tot_mub_per_fu": 0.0, "volume_a3_per_atom": 28.751}

Entry 3:
{"formula": "CdPb", "functional": "GGA-PBEsol", "state": "optimized geometry", "lattice_angstrom": [[3.337, 0.000, 0.000], [0.000, 5.655, 0.026], [-1.668, -1.529, 5.434]], "species": ["Pb", "Pb", "Cd", "Cd"], "frac_coords": [[0.114, 0.343, 0.228], [0.886, 0.657, 0.772], [0.641, 0.863, 0.281], [0.359, 0.137, 0.719]], "dft_energy_ev_per_atom": -2.541, "sg": "C2/m, No. 12", "delta_e_f_ev_per_fu": 0.11, "m_tot_mub_per_fu": 0.0, "volume_a3_per_atom": 25.670}

Entry 4:
{"formula": "CdPb", "functional": "GGA-PBEsol", "state": "optimized geometry", "lattice_angstrom": [[5.053, 0.000, 0.000], [-2.527, 4.376, 0.000], [0.000, 0.000, 6.001]], "species": ["Cd", "Cd", "Pb", "Pb"], "frac_coords": [[0.667, 0.333, 0.250], [0.333, 0.667, 0.750], [0.667, 0.333, 0.750], [0.333, 0.667, 0.250]], "dft_energy_ev_per_atom": -2.293, "sg": "P6_3/mmc, No. 194", "delta_e_f_ev_per_fu": 0.61, "m_tot_mub_per_fu": 0.0, "volume_a3_per_atom": 33.177}